# 1
{
  "formula": "Pr3Sm4ErTe8",
  "functional": "GGA-PBE",
  "state": "optimized geometry",
  "m_tot_mub_per_atom": 0.0000,
  "e_form_raw_ev_per_atom": -1.38,
  "lattice": [[-8.7284, -0.9072, -1.7675], [1.9256, -5.6428, -6.6127], [3.0815, -1.5516, 8.2470]],
  "species": ["Er", "Te", "Te", "Sm", "Te", "Te", "Pr", "Pr", "Sm", "Sm", "Te", "Te", "Te", "Te", "Pr", "Sm"],
  "fractional_positions": [[0.0000, 0.5000, 0.0000], [0.7540, 0.2494, 0.9953], [0.2476, 0.2428, 0.4951], [0.0000, 0.0000, 0.0000], [0.2460, 0.7506, 0.0047], [0.2459, 0.7506, 0.4918], [0.5000, 0.5000, 0.0000], [0.5000, 0.5000, 0.5000], [0.0000, 0.0000, 0.5000], [0.5000, 0.0000, 0.0000], [0.7587, 0.7506, 0.0047], [0.7524, 0.7572, 0.5049], [0.7541, 0.2494, 0.5082], [0.2413, 0.2494, 0.9953], [0.0000, 0.5000, 0.5000], [0.5000, 0.0000, 0.5000]]
}

=====

# 2
{
  "formula": "BaAsAu",
  "functional": "GGA-PBE",
  "state": "optimized geometry",
  "m_tot_mub_per_atom": 0.0000,
  "formation_enthalpy_0k_mev_per_atom": -850,
  "lattice": [[-2.9985, 3.6123, -4.8410], [-4.2959, 0.4512, 2.9957], [0.9494, 4.4121, 2.7053]],
  "species": ["As", "Ba", "Ba", "As", "Au", "Au"],
  "fractional_positions": [[0.1127, 0.9249, 0.5507], [0.1093, 0.5058, 0.1315], [0.6093, 0.8025, 0.4279], [0.6127, 0.3836, 0.0089], [0.3614, 0.1549, 0.7811], [0.8612, 0.1531, 0.7786]]
}